AcTb2Pm | GGA-PBE | relaxed

```
AcTb2Pm
1.0
3.7281 0.0000 0.0000
1.8640 3.2286 0.0000
1.8640 1.0762 11.8332
Tb Pm Ac
2 1 1
Cartesian
1.8640 1.0762 8.8079
1.8640 1.0762 3.0358
3.7281 2.1524 5.9026
3.7281 2.1524 0.0036
```

Output
energy of formation: 0.18 eV per formula unit
Fermi-level density of states: 1.590 states/eV per atom
final energy: -4.49 eV/atom
E above lowest polymorph: 2 meV per atom